Record 1
DFT (GGA-PBE) results for BPOsO after structural relaxation.

- Relative energy among the computed polymorphs: 1.119 eV/atom

```
data_BPOsO
_cell_length_a 3.109
_cell_length_b 3.109
_cell_length_c 9.013
_cell_angle_alpha 90.00
_cell_angle_beta 90.00
_cell_angle_gamma 90.00
_symmetry_space_group_name_H-M 'P 1'
_symmetry_Int_Tables_number 1
loop_
_symmetry_equiv_pos_as_xyz
'x,y,z'
loop_
_atom_site_label
_atom_site_fract_x
_atom_site_fract_y
_atom_site_fract_z
_atom_site_occupancy
B1 0.250 0.750 0.000 1
B2 0.750 0.250 0.000 1
P1 0.250 0.250 0.159 1
P2 0.750 0.750 0.841 1
Os1 0.250 0.250 0.650 1
Os2 0.750 0.750 0.350 1
O1 0.250 0.750 0.500 1
O2 0.750 0.250 0.500 1
```



Record 2
DFT (GGA-PBE) results for RbGa3Ni2 after structural relaxation.

- VASP energy: -45.08 eV/cell

```
data_RbGa3Ni2
_cell_length_a 6.686
_cell_length_b 6.686
_cell_length_c 5.194
_cell_angle_alpha 90.00
_cell_angle_beta 90.00
_cell_angle_gamma 71.20
_symmetry_space_group_name_H-M 'P 1'
_symmetry_Int_Tables_number 1
loop_
_symmetry_equiv_pos_as_xyz
'x,y,z'
loop_
_atom_site_label
_atom_site_fract_x
_atom_site_fract_y
_atom_site_fract_z
_atom_site_occupancy
Rb1 0.131 0.869 0.750 1
Rb2 0.869 0.131 0.250 1
Ga1 0.018 0.562 0.250 1
Ga2 0.437 0.563 0.250 1
Ga3 0.438 0.982 0.250 1
Ga4 0.562 0.018 0.750 1
Ga5 0.563 0.437 0.750 1
Ga6 0.982 0.438 0.750 1
Ni1 0.310 0.310 0.000 1
Ni2 0.310 0.310 0.500 1
Ni3 0.690 0.690 0.000 1
Ni4 0.690 0.690 0.500 1
```



Record 3
DFT (GGA-PBE) results for As2IrPd after structural relaxation.

- VASP energy: -21.78 eV/cell

```
data_As2IrPd
_cell_length_a 4.522
_cell_length_b 4.522
_cell_length_c 4.522
_cell_angle_alpha 60.00
_cell_angle_beta 60.00
_cell_angle_gamma 60.00
_symmetry_space_group_name_H-M 'P 1'
_symmetry_Int_Tables_number 1
loop_
_symmetry_equiv_pos_as_xyz
'x,y,z'
loop_
_atom_site_label
_atom_site_fract_x
_atom_site_fract_y
_atom_site_fract_z
_atom_site_occupancy
As1 0.000 0.000 0.000 1
As2 0.250 0.250 0.250 1
Ir1 0.750 0.750 0.750 1
Pd1 0.500 0.500 0.500 1
```



Record 4
DFT (GGA-PBE) results for SrNdIN after structural relaxation.

- Relative energy among the computed polymorphs: 0.041 eV/atom

```
data_SrNdIN
_cell_length_a 3.879
_cell_length_b 3.879
_cell_length_c 15.426
_cell_angle_alpha 90.00
_cell_angle_beta 90.00
_cell_angle_gamma 120.00
_symmetry_space_group_name_H-M 'P 1'
_symmetry_Int_Tables_number 1
loop_
_symmetry_equiv_pos_as_xyz
'x,y,z'
loop_
_atom_site_label
_atom_site_fract_x
_atom_site_fract_y
_atom_site_fract_z
_atom_site_occupancy
Sr1 0.333 0.667 0.000 1
Sr2 0.667 0.333 0.500 1
Nd1 0.333 0.667 0.326 1
Nd2 0.667 0.333 0.826 1
I1 0.333 0.667 0.666 1
I2 0.667 0.333 0.166 1
N1 0.000 0.000 0.401 1
N2 0.000 0.000 0.901 1
```



Record 5
DFT (GGA-PBE) results for Zr3IrC after structural relaxation.

- VASP energy: -94.64 eV/cell

```
data_Zr3IrC
_cell_length_a 6.096
_cell_length_b 6.096
_cell_length_c 8.931
_cell_angle_alpha 90.00
_cell_angle_beta 90.00
_cell_angle_gamma 148.06
_symmetry_space_group_name_H-M 'P 1'
_symmetry_Int_Tables_number 1
loop_
_symmetry_equiv_pos_as_xyz
'x,y,z'
loop_
_atom_site_label
_atom_site_fract_x
_atom_site_fract_y
_atom_site_fract_z
_atom_site_occupancy
Zr1 0.059 0.941 0.750 1
Zr2 0.369 0.631 0.557 1
Zr3 0.369 0.631 0.943 1
Zr4 0.631 0.369 0.057 1
Zr5 0.631 0.369 0.443 1
Zr6 0.941 0.059 0.250 1
Ir1 0.253 0.747 0.250 1
Ir2 0.747 0.253 0.750 1
C1 0.000 0.000 0.000 1
C2 0.000 0.000 0.500 1
```



Record 6
DFT (GGA-PBE) results for GdNbSn after structural relaxation.

- VASP energy: -17.46 eV/cell

```
data_GdNbSn
_cell_length_a 4.932
_cell_length_b 4.932
_cell_length_c 4.932
_cell_angle_alpha 60.00
_cell_angle_beta 60.00
_cell_angle_gamma 60.00
_symmetry_space_group_name_H-M 'P 1'
_symmetry_Int_Tables_number 1
loop_
_symmetry_equiv_pos_as_xyz
'x,y,z'
loop_
_atom_site_label
_atom_site_fract_x
_atom_site_fract_y
_atom_site_fract_z
_atom_site_occupancy
Gd1 0.000 0.000 0.000 1
Nb1 0.250 0.250 0.250 1
Sn1 0.500 0.500 0.500 1
```



Record 7
DFT (GGA-PBE) results for GdTm2In after structural relaxation.

- VASP energy: -17.39 eV/cell

```
data_GdTm2In
_cell_length_a 4.804
_cell_length_b 4.804
_cell_length_c 4.815
_cell_angle_alpha 90.00
_cell_angle_beta 90.00
_cell_angle_gamma 90.00
_symmetry_space_group_name_H-M 'P 1'
_symmetry_Int_Tables_number 1
loop_
_symmetry_equiv_pos_as_xyz
'x,y,z'
loop_
_atom_site_label
_atom_site_fract_x
_atom_site_fract_y
_atom_site_fract_z
_atom_site_occupancy
Gd1 0.000 0.000 0.000 1
Tm1 0.000 0.500 0.500 1
Tm2 0.500 0.000 0.500 1
In1 0.500 0.500 0.000 1
```



Record 8
DFT (GGA-PBE) results for KHfAs after structural relaxation.

- Relative energy among the computed polymorphs: 0.977 eV/atom

```
data_KHfAs
_cell_length_a 4.943
_cell_length_b 4.943
_cell_length_c 4.943
_cell_angle_alpha 60.00
_cell_angle_beta 60.00
_cell_angle_gamma 60.00
_symmetry_space_group_name_H-M 'P 1'
_symmetry_Int_Tables_number 1
loop_
_symmetry_equiv_pos_as_xyz
'x,y,z'
loop_
_atom_site_label
_atom_site_fract_x
_atom_site_fract_y
_atom_site_fract_z
_atom_site_occupancy
K1 0.000 0.000 0.000 1
Hf1 0.250 0.250 0.250 1
As1 0.750 0.750 0.750 1
```



Record 9
DFT (GGA-PBE) results for LiCu2Ge after structural relaxation.

- VASP energy: -56.45 eV/cell

```
data_LiCu2Ge
_cell_length_a 5.933
_cell_length_b 5.933
_cell_length_c 5.933
_cell_angle_alpha 90.00
_cell_angle_beta 90.00
_cell_angle_gamma 90.00
_symmetry_space_group_name_H-M 'P 1'
_symmetry_Int_Tables_number 1
loop_
_symmetry_equiv_pos_as_xyz
'x,y,z'
loop_
_atom_site_label
_atom_site_fract_x
_atom_site_fract_y
_atom_site_fract_z
_atom_site_occupancy
Li1 0.000 0.000 0.000 1
Li2 0.000 0.000 0.500 1
Li3 0.000 0.500 0.000 1
Li4 0.500 0.000 0.000 1
Cu1 0.241 0.241 0.241 1
Cu2 0.241 0.241 0.759 1
Cu3 0.241 0.759 0.241 1
Cu4 0.241 0.759 0.759 1
Cu5 0.759 0.241 0.241 1
Cu6 0.759 0.241 0.759 1
Cu7 0.759 0.759 0.241 1
Cu8 0.759 0.759 0.759 1
Ge1 0.000 0.500 0.500 1
Ge2 0.500 0.000 0.500 1
Ge3 0.500 0.500 0.000 1
Ge4 0.500 0.500 0.500 1
```



Record 10
DFT (GGA-PBE) results for Pr2Er2SiI5 after structural relaxation.

- Relative energy among the computed polymorphs: 0.000 eV/atom

```
data_Pr2Er2SiI5
_cell_length_a 9.909
_cell_length_b 9.909
_cell_length_c 9.182
_cell_angle_alpha 102.09
_cell_angle_beta 102.09
_cell_angle_gamma 24.76
_symmetry_space_group_name_H-M 'P 1'
_symmetry_Int_Tables_number 1
loop_
_symmetry_equiv_pos_as_xyz
'x,y,z'
loop_
_atom_site_label
_atom_site_fract_x
_atom_site_fract_y
_atom_site_fract_z
_atom_site_occupancy
Pr1 0.001 0.001 0.286 1
Pr2 0.999 0.999 0.714 1
Er1 0.358 0.358 0.428 1
Er2 0.642 0.642 0.572 1
Si1 0.500 0.500 0.500 1
I1 0.170 0.170 0.819 1
I2 0.176 0.176 0.350 1
I3 0.500 0.500 0.000 1
I4 0.824 0.824 0.650 1
I5 0.830 0.830 0.181 1
```



Record 11
DFT (GGA-PBE) results for GdY2In3Ni3 after structural relaxation.

- VASP energy: -47.12 eV/cell

```
data_GdY2In3Ni3
_cell_length_a 3.833
_cell_length_b 7.445
_cell_length_c 7.445
_cell_angle_alpha 119.95
_cell_angle_beta 90.00
_cell_angle_gamma 90.00
_symmetry_space_group_name_H-M 'P 1'
_symmetry_Int_Tables_number 1
loop_
_symmetry_equiv_pos_as_xyz
'x,y,z'
loop_
_atom_site_label
_atom_site_fract_x
_atom_site_fract_y
_atom_site_fract_z
_atom_site_occupancy
Gd1 0.000 0.000 0.000 1
Y1 0.000 0.175 0.588 1
Y2 0.000 0.588 0.175 1
In1 0.500 0.336 0.336 1
In2 0.500 0.587 0.840 1
In3 0.500 0.840 0.587 1
Ni1 0.000 0.588 0.588 1
Ni2 0.500 0.254 0.921 1
Ni3 0.500 0.921 0.254 1
```



Record 12
DFT (GGA-PBE) results for Be2IrAu after structural relaxation.

- VASP energy: -18.72 eV/cell

```
data_Be2IrAu
_cell_length_a 4.218
_cell_length_b 4.218
_cell_length_c 4.218
_cell_angle_alpha 60.00
_cell_angle_beta 60.00
_cell_angle_gamma 60.00
_symmetry_space_group_name_H-M 'P 1'
_symmetry_Int_Tables_number 1
loop_
_symmetry_equiv_pos_as_xyz
'x,y,z'
loop_
_atom_site_label
_atom_site_fract_x
_atom_site_fract_y
_atom_site_fract_z
_atom_site_occupancy
Be1 0.000 0.000 0.000 1
Be2 0.250 0.250 0.250 1
Ir1 0.750 0.750 0.750 1
Au1 0.500 0.500 0.500 1
```